Computed, not measured: a relaxed K3TaMo crystal at the PBE-GGA level of DFT.

The structure in extended XYZ format:
```
5
Lattice="5.828 0.000 0.000 0.000 5.828 0.000 0.000 0.000 5.828" Properties=species:S:1:pos:R:3 pbc="T T T"
K 0.000 0.000 2.914
K 0.000 2.914 0.000
K 2.914 0.000 0.000
Ta 2.914 2.914 2.914
Mo 0.000 0.000 0.000
```

**Crystal system**: cubic
**ΔE_f**: 2.894 eV per atom

=====

Computed, not measured: a relaxed SrTlAg2 crystal at the PBE-GGA level of DFT.

The structure in extended XYZ format:
```
8
Lattice="2.489 -5.693 0.000 2.489 5.693 0.000 0.000 0.000 7.444" Properties=species:S:1:pos:R:3 pbc="T T T"
Sr 2.489 4.757 5.583
Sr 2.489 -4.757 1.861
Tl 2.489 3.238 1.861
Tl 2.489 -3.238 5.583
Ag 2.489 1.356 4.173
Ag 2.489 1.356 6.993
Ag 2.489 -1.356 0.451
Ag 2.489 -1.356 3.271
```

**Crystal system**: orthorhombic
**ΔE_f**: -0.203 eV per atom

=====

Computed, not measured: a relaxed Mo3PtC crystal at the PBE-GGA level of DFT.

The structure in extended XYZ format:
```
5
Lattice="4.773 0.000 0.000 0.000 4.773 0.000 0.000 0.000 4.773" Properties=species:S:1:pos:R:3 pbc="T T T"
Mo 0.000 0.000 2.386
Mo 0.000 2.386 0.000
Mo 2.386 0.000 0.000
Pt 0.000 0.000 0.000
C 2.386 2.386 2.386
```

**Relative energy among the computed polymorphs**: 3140 meV/atom
**Crystal system**: cubic
**ΔE_f**: 3.025 eV per atom

=====

Taking the records one at a time from the top gives DOS(E_F) values of 27.56; 2.19; 5.68 states/eV/f.u..